# Ta2In3Mo4C3 | OQMD via LeMat-Bulk | PBE | optimized geometry
# DFT total energy	-417.58	eV per cell
data_Ta2In3Mo4C3
_cell_length_a 9.4768
_cell_length_b 5.4718
_cell_length_c 14.4393
_cell_angle_alpha 90.00
_cell_angle_beta 102.51
_cell_angle_gamma 90.00
_symmetry_space_group_name_H-M 'C 1 2/c 1'
_symmetry_Int_Tables_number 15
loop_
_symmetry_equiv_pos_as_xyz
'x,y,z'
'-x,-y,-z'
'-x,y,-z+1/2'
'x,-y,z+1/2'
'x+1/2,y+1/2,z'
'-x+1/2,-y+1/2,-z'
'-x+1/2,y+1/2,-z+1/2'
'x+1/2,-y+1/2,z+1/2'
loop_
_atom_site_label
_atom_site_fract_x
_atom_site_fract_y
_atom_site_fract_z
Ta1 0.0584 0.0858 0.4162
In1 0.0000 0.4310 0.2500
In2 0.1733 0.0901 0.7487
Mo1 0.1102 0.4237 0.5791
Mo2 0.2199 0.4131 0.9208
C1 0.0815 0.2452 0.0000
C2 0.2500 0.2500 0.5000

---

# La7Pd3 | OQMD via LeMat-Bulk | PBE | optimized geometry
# DFT total energy	-110.55	eV per cell
data_La7Pd3
_cell_length_a 10.3569
_cell_length_b 10.3569
_cell_length_c 6.5645
_cell_angle_alpha 90.00
_cell_angle_beta 90.00
_cell_angle_gamma 120.00
_symmetry_space_group_name_H-M 'P 63 m c'
_symmetry_Int_Tables_number 186
_symmetry_space_group_name_Hall 'P 6c -2c'
loop_
_atom_site_label
_atom_site_fract_x
_atom_site_fract_y
_atom_site_fract_z
La1 0.0752 0.5376 0.0000
La2 0.1257 0.2514 0.2996
La3 0.3333 0.6667 0.5051
Pd1 0.1884 0.3768 0.7488

---

# RbZnPO | OQMD via LeMat-Bulk | PBE | optimized geometry
# excess energy over the best structure of this formula in the dataset	0.000	eV per atom
# DFT total energy	-30.20	eV per cell
data_RbZnPO
_cell_length_a 3.1609
_cell_length_b 8.8250
_cell_length_c 5.6034
_cell_angle_alpha 90.00
_cell_angle_beta 90.00
_cell_angle_gamma 90.00
_symmetry_space_group_name_H-M 'P m c 21'
_symmetry_Int_Tables_number 26
loop_
_symmetry_equiv_pos_as_xyz
'x,y,z'
'-x,-y,z+1/2'
'-x,y,z'
'x,-y,z+1/2'
loop_
_atom_site_label
_atom_site_fract_x
_atom_site_fract_y
_atom_site_fract_z
Rb1 0.0000 0.1565 0.0000
Zn1 0.5000 0.2739 0.5002
P1 0.5000 0.5004 0.2516
O1 0.0000 0.1515 0.5000

---

# Rb2PtCl6 | OQMD via LeMat-Bulk | PBE | optimized geometry
# DFT total energy	-60.20	eV per cell
data_Rb2PtCl6
_cell_length_a 12.3384
_cell_length_b 7.1315
_cell_length_c 7.1368
_cell_angle_alpha 90.00
_cell_angle_beta 125.21
_cell_angle_gamma 90.00
_symmetry_space_group_name_H-M 'C 1 2/m 1'
_symmetry_Int_Tables_number 12
loop_
_symmetry_equiv_pos_as_xyz
'x,y,z'
'-x,-y,-z'
'-x,y,-z'
'x,-y,z'
'x+1/2,y+1/2,z'
'-x+1/2,-y+1/2,-z'
'-x+1/2,y+1/2,-z'
'x+1/2,-y+1/2,z'
loop_
_atom_site_label
_atom_site_fract_x
_atom_site_fract_y
_atom_site_fract_z
Rb1 0.2477 0.0000 0.2485
Pt1 0.0000 0.5000 0.0000
Cl1 0.0066 0.2679 0.7737
Cl2 0.2326 0.5000 0.2449

---

# CuNiBiMo | OQMD via LeMat-Bulk | PBE | optimized geometry
# excess energy over the best structure of this formula in the dataset	0.008	eV per atom
# DFT total energy	-87.20	eV per cell
data_CuNiBiMo
_cell_length_a 6.4208
_cell_length_b 6.4208
_cell_length_c 6.4208
_cell_angle_alpha 90.00
_cell_angle_beta 90.00
_cell_angle_gamma 90.00
_symmetry_space_group_name_H-M 'F -4 3 m'
_symmetry_Int_Tables_number 216
_symmetry_space_group_name_Hall 'F -4 2 3'
loop_
_atom_site_label
_atom_site_fract_x
_atom_site_fract_y
_atom_site_fract_z
Cu1 0.0000 0.0000 0.0000
Ni1 0.0000 0.0000 0.5000
Bi1 0.2500 0.2500 0.7500
Mo1 0.2500 0.2500 0.2500

---

# Pr2B2O5 | OQMD via LeMat-Bulk | PBE | optimized geometry
# excess energy over the best structure of this formula in the dataset	1.286	eV per atom
# DFT total energy	-53.06	eV per cell
data_Pr2B2O5
_cell_length_a 3.6807
_cell_length_b 3.6807
_cell_length_c 9.3745
_cell_angle_alpha 90.00
_cell_angle_beta 90.00
_cell_angle_gamma 90.00
_symmetry_space_group_name_H-M 'P 4/m m m'
_symmetry_Int_Tables_number 123
_symmetry_space_group_name_Hall '-P 4 2'
loop_
_atom_site_label
_atom_site_fract_x
_atom_site_fract_y
_atom_site_fract_z
Pr1 0.0000 0.0000 0.2456
B1 0.5000 0.5000 0.0000
B2 0.5000 0.5000 0.5000
O1 0.0000 0.0000 0.0000
O2 0.0000 0.5000 0.3842

---

# PrDyPb | OQMD via LeMat-Bulk | PBE | optimized geometry
# excess energy over the best structure of this formula in the dataset	0.000	eV per atom
# DFT total energy	-55.09	eV per cell
data_PrDyPb
_cell_length_a 7.4574
_cell_length_b 7.4574
_cell_length_c 7.4574
_cell_angle_alpha 90.00
_cell_angle_beta 90.00
_cell_angle_gamma 90.00
_symmetry_space_group_name_H-M 'F -4 3 m'
_symmetry_Int_Tables_number 216
_symmetry_space_group_name_Hall 'F -4 2 3'
loop_
_atom_site_label
_atom_site_fract_x
_atom_site_fract_y
_atom_site_fract_z
Pr1 0.0000 0.0000 0.0000
Dy1 0.0000 0.0000 0.5000
Pb1 0.2500 0.2500 0.7500

---

# YGa6Cu6 | OQMD via LeMat-Bulk | PBE | optimized geometry
# DFT total energy	-101.43	eV per cell
data_YGa6Cu6
_cell_length_a 5.1526
_cell_length_b 8.5240
_cell_length_c 8.7400
_cell_angle_alpha 90.00
_cell_angle_beta 90.00
_cell_angle_gamma 90.00
_symmetry_space_group_name_H-M 'I m m m'
_symmetry_Int_Tables_number 71
_symmetry_space_group_name_Hall '-I 2 2'
loop_
_atom_site_label
_atom_site_fract_x
_atom_site_fract_y
_atom_site_fract_z
Y1 0.0000 0.0000 0.0000
Ga1 0.0000 0.0000 0.3480
Ga2 0.0000 0.3471 0.0000
Ga3 0.0000 0.5000 0.3061
Cu1 0.0000 0.2674 0.5000
Cu2 0.2500 0.2500 0.2500